The following is a DFT calculation (PBE) of a relaxed BaY2MoOs crystal.

a b c (Å): 5.538 5.538 4.922
angles (deg): 90.00 90.00 90.00
Space group P4/mmm (No. 123)
Symmetry-distinct sites (fractional):
1 Ba 0.000 0.000 0.000
2 Y 0.000 0.500 0.500
3 Mo 0.500 0.500 0.000
4 Os 0.500 0.500 0.500

Output
The calculation puts the volume at 30.191 Å³ per atom. The final energy is -6.986 eV per atom. The calculation puts the mass density at 6615 kg/m3. The crystal system is tetragonal. The total magnetization comes out at 1.56 μB per cell.